No. 1
First-principles (PBE) data for LaTl2Fe after structural relaxation, as listed in Alexandria.

Values from the calculation:
* energy: -17.51 eV per cell
* ΔE_f: 14.71 kJ per mole of atoms

Cell and atoms, written as CIF:
```
data_LaTl2Fe
_symmetry_space_group_name_H-M 'P 4/m m m'
_symmetry_Int_Tables_number 123
_symmetry_space_group_name_Hall '-P 4 2'
_cell_length_a 3.6014
_cell_length_b 3.6014
_cell_length_c 7.4716
_cell_angle_alpha 90.00
_cell_angle_beta 90.00
_cell_angle_gamma 90.00
loop_
_atom_site_label
_atom_site_type_symbol
_atom_site_fract_x
_atom_site_fract_y
_atom_site_fract_z
La1 La 0.0000 0.0000 0.0000
Tl1 Tl 0.5000 0.5000 0.2979
Fe1 Fe 0.0000 0.0000 0.5000
```

=====

No. 2
First-principles (PBE) data for La2TlFe after structural relaxation, as listed in Alexandria.

Values from the calculation:
* energy: -41.16 eV per cell
* ΔE_f: 2.52 kJ per mole of atoms

Cell and atoms, written as CIF:
```
data_La2TlFe
_symmetry_space_group_name_H-M 'I m m 2'
_symmetry_Int_Tables_number 44
_cell_length_a 3.6840
_cell_length_b 5.1501
_cell_length_c 11.2496
_cell_angle_alpha 90.00
_cell_angle_beta 90.00
_cell_angle_gamma 90.00
loop_
_symmetry_equiv_pos_as_xyz
'x,y,z'
'-x,-y,z'
'-x,y,z'
'x,-y,z'
'x+1/2,y+1/2,z+1/2'
'-x+1/2,-y+1/2,z+1/2'
'-x+1/2,y+1/2,z+1/2'
'x+1/2,-y+1/2,z+1/2'
loop_
_atom_site_label
_atom_site_type_symbol
_atom_site_fract_x
_atom_site_fract_y
_atom_site_fract_z
La1 La 0.0000 0.0000 0.0000
La2 La 0.0000 0.5000 0.1929
Tl1 Tl 0.0000 0.5000 0.7899
Fe1 Fe 0.0000 0.0000 0.4729
```